Entry 1:
ZrTlSCl2 at its PBEsol-relaxed geometry, computed with SCAN.

a = 4.9708 Å, b = 4.9999 Å, c = 4.9999 Å
α = 90.00°, β = 90.00°, γ = 90.00°
Closest atoms and distances in Å follow each position.
Atoms (fractional coordinates):
S: 0.5000 0.0000 0.0000  2 Zr 2.49
Cl: 0.0000 0.0000 0.5000  2 Zr 2.50
Cl: 0.0000 0.5000 0.0000  2 Zr 2.50
Tl: 0.5000 0.5000 0.5000  8 Cl 3.53, 4 S 3.54
Zr: 0.0000 0.0000 0.0000  2 S 2.49, 4 Cl 2.50

Output
uncorrected formation energy	-1375	meV/atom
space-group type	P4/mmm
magnetic moment	0.00	μB per cell

Entry 2:
ZrWSCl2 at its PBEsol-relaxed geometry, computed with SCAN.

a = 4.6371 Å, b = 4.6717 Å, c = 4.6717 Å
α = 90.00°, β = 90.00°, γ = 90.00°
Closest atoms and distances in Å follow each position.
Atoms (fractional coordinates):
W: 0.0000 0.0000 0.0000  2 S 2.32, 4 Cl 2.34
S: 0.5000 0.0000 0.0000  2 W 2.32
Zr: 0.5000 0.5000 0.5000  8 Cl 3.29, 4 S 3.30
Cl: 0.0000 0.5000 0.0000  2 W 2.34
Cl: 0.0000 0.0000 0.5000  2 W 2.34

Output
uncorrected formation energy	316	meV/atom
space-group type	P4/mmm
magnetic moment	1.27	μB per cell

Entry 3:
SbCl3 at its PBEsol-relaxed geometry, computed with SCAN.

a = 4.4855 Å, b = 4.4855 Å, c = 5.8983 Å
α = 67.65°, β = 67.65°, γ = 60.00°
Closest atoms and distances in Å follow each position.
Atoms (fractional coordinates):
Sb: 0.0000 0.0000 0.0000  6 Cl 2.77
Cl: 0.5000 0.5000 0.5000  6 Cl 3.09
Cl: 0.7278 0.7278 0.8165  3 Sb 2.77, 3 Cl 3.09
Cl: 0.2722 0.2722 0.1835  3 Sb 2.77, 3 Cl 3.09

Output
uncorrected formation energy	-344	meV/atom
space-group type	R-3m
magnetic moment	0.00	μB per cell

Entry 4:
SbCl3 at its PBEsol-relaxed geometry, computed with SCAN.

a = 4.4897 Å, b = 5.0495 Å, c = 4.4897 Å
α = 116.40°, β = 90.00°, γ = 116.40°
Closest atoms and distances in Å follow each position.
Atoms (fractional coordinates):
Cl: 0.7500 0.5000 0.2500  8 Cl 2.98-3.17, 4 Sb 2.98
Cl: 0.2500 0.5000 0.7500  8 Cl 2.98-3.17, 4 Sb 2.98
Cl: 0.5000 0.0000 0.5000  8 Cl 2.98, 4 Sb 3.17
Sb: 0.0000 0.0000 0.0000  12 Cl 2.98-3.17

Output
uncorrected formation energy	-272	meV/atom
space-group type	I4/mmm
magnetic moment	0.00	μB per cell

Entry 5:
SbCl3 at its PBEsol-relaxed geometry, computed with SCAN.

a = 3.6454 Å, b = 3.6454 Å, c = 6.1596 Å
α = 90.00°, β = 90.00°, γ = 90.00°
Closest atoms and distances in Å follow each position.
Atoms (fractional coordinates):
Cl: 0.0000 0.0000 0.7349  5 Cl 2.89-3.05, 4 Sb 2.96
Cl: 0.0000 0.0000 0.2651  5 Cl 2.89-3.05, 4 Sb 2.96
Sb: 0.5000 0.5000 0.5000  10 Cl 2.96-3.08
Cl: 0.5000 0.5000 0.0000  8 Cl 3.05, 2 Sb 3.08

Output
uncorrected formation energy	-152	meV/atom
space-group type	P4/mmm
magnetic moment	0.00	μB per cell

Entry 6:
SbCl3 at its PBEsol-relaxed geometry, computed with SCAN.

a = 6.4207 Å, b = 8.0388 Å, c = 8.7362 Å
α = 90.00°, β = 90.00°, γ = 90.00°
Closest atoms and distances in Å follow each position.
Atoms (fractional coordinates):
Sb: 0.9911 0.9703 0.7500  3 Cl 2.37-2.44
Cl: 0.6346 0.6704 0.9388  1 Sb 2.44
Cl: 0.3654 0.3296 0.0612  1 Sb 2.44
Cl: 0.1615 0.5719 0.7500  1 Sb 2.37
Cl: 0.6346 0.6704 0.5612  1 Sb 2.44
Sb: 0.5089 0.4703 0.7500  3 Cl 2.37-2.44
Cl: 0.1346 0.8296 0.0612  1 Sb 2.44
Cl: 0.1346 0.8296 0.4388  1 Sb 2.44
Cl: 0.8385 0.4281 0.2500  1 Sb 2.37
Cl: 0.6615 0.9281 0.2500  1 Sb 2.37
Cl: 0.3385 0.0719 0.7500  1 Sb 2.37
Sb: 0.4911 0.5297 0.2500  3 Cl 2.37-2.44
Cl: 0.3654 0.3296 0.4388  1 Sb 2.44
Cl: 0.8654 0.1704 0.5612  1 Sb 2.44
Cl: 0.8654 0.1704 0.9388  1 Sb 2.44
Sb: 0.0089 0.0297 0.2500  3 Cl 2.37-2.44

Output
uncorrected formation energy	-912	meV/atom
space-group type	Pnma
magnetic moment	0.00	μB per cell

Entry 7:
SbCl3 at its PBEsol-relaxed geometry, computed with SCAN.

a = 4.3155 Å, b = 4.3155 Å, c = 4.3155 Å
α = 90.00°, β = 90.00°, γ = 90.00°
Closest atoms and distances in Å follow each position.
Atoms (fractional coordinates):
Sb: 0.0000 0.0000 0.0000  12 Cl 3.05
Cl: 0.5000 0.5000 0.0000  8 Cl 3.05, 4 Sb 3.05
Cl: 0.5000 0.0000 0.5000  8 Cl 3.05, 4 Sb 3.05
Cl: 0.0000 0.5000 0.5000  8 Cl 3.05, 4 Sb 3.05

Output
uncorrected formation energy	-77	meV/atom
space-group type	Pm-3m
magnetic moment	0.00	μB per cell

Entry 8:
SbCl3 at its PBEsol-relaxed geometry, computed with SCAN.

a = 4.3997 Å, b = 4.3997 Å, c = 8.8071 Å
α = 104.46°, β = 104.46°, γ = 90.00°
Closest atoms and distances in Å follow each position.
Atoms (fractional coordinates):
Cl: 0.8704 0.8704 0.7408  8 Cl 2.96-3.07, 4 Sb 3.11
Cl: 0.2500 0.7500 0.5000  8 Cl 2.96-3.11, 4 Sb 2.96
Sb: 0.3705 0.3705 0.7409  12 Cl 2.96-3.11
Cl: 0.7500 0.2500 0.5000  8 Cl 2.96-3.11, 4 Sb 2.96
Sb: 0.6295 0.6295 0.2591  12 Cl 2.96-3.11
Cl: 0.1296 0.1296 0.2592  8 Cl 2.96-3.07, 4 Sb 3.11
Cl: 0.5000 0.0000 0.0000  4 Sb 3.07, 8 Cl 3.07-3.11
Cl: 0.0000 0.5000 0.0000  4 Sb 3.07, 8 Cl 3.07-3.11

Output
uncorrected formation energy	-178	meV/atom
space-group type	I4/mmm
magnetic moment	0.00	μB per cell

Question: Which value of magnetic moment does entry 7 give?
Answer: 0.00 μB per cell

Question: Number 7 is which compound?
Answer: SbCl3